## i
LiZnPO2 (PBE, relaxed); magnetic moment = 0.381 μB per atom; space-group type = P4/mmm (123)
1.0
-0.0745 1.0854 3.4745
1.5155 -3.1505 1.0166
4.2808 1.8976 -0.5009
P Zn O Li
1 1 2 1
direct
0.0000 0.0000 0.5000
0.5000 0.5000 0.5000
0.0000 0.5000 0.0000
0.5000 0.0000 0.0000
0.0000 0.0000 0.0000



## ii
LiZnPO2 (PBE, relaxed); magnetic moment = 0.447 μB per atom; space-group type = P4/mmm (123)
1.0
3.9039 0.0000 0.0000
0.0000 4.8151 0.0000
0.0000 0.0000 3.9039
P Zn O Li
1 1 2 1
direct
0.0000 0.5000 0.0000
0.0000 0.0000 0.0000
0.0000 0.0000 0.5000
0.5000 0.0000 0.0000
0.5000 0.5000 0.5000



Question: which arrangement is favored energetically? Ranking from most to least stable: ii, i.



## i
Li2PaO4 (PBE, relaxed); magnetic moment = 0.011 μB per atom; space-group type = Imma (74)
1.0
-5.8961 -2.6695 3.0108
-0.2012 -5.1873 3.4689
-1.3570 0.3172 6.0860
Li Pa O
4 2 8
direct
0.1301 0.1199 0.6199
0.5000 0.0000 0.0000
0.5000 0.5000 0.5000
0.8699 0.8801 0.3801
0.0000 0.5000 0.0000
0.5000 0.5000 0.0000
0.2490 0.2821 0.2199
0.2490 0.7199 0.7821
0.2627 0.2559 0.7559
0.7255 0.2559 0.7559
0.2745 0.7441 0.2441
0.7510 0.2801 0.2179
0.7373 0.7441 0.2441
0.7510 0.7179 0.7801



## ii
Li2PaO4 (PBE, relaxed); magnetic moment = 0.143 μB per atom; space-group type = Cmmm (65)
1.0
-0.7062 -3.4785 0.9421
2.1955 0.5178 3.5579
-5.3334 1.2492 0.6145
Li Pa O
2 1 4
direct
0.5000 0.1759 0.3519
0.5000 0.8241 0.6481
0.0000 0.5000 0.0000
0.5000 0.6279 0.2558
0.0000 0.8961 0.7922
0.5000 0.3721 0.7442
0.0000 0.1039 0.2078



Question: which arrangement is favored energetically? Ranking from most to least stable: ii, i.



## i
LiPr2Pa2O8 (PBE, relaxed); magnetic moment = 0.082 μB per atom; space-group type = C2 (5)
1.0
-2.4486 -2.0121 -4.9906
-0.5410 -4.4955 3.8010
-6.5021 -1.2208 1.0660
Li Pr Pa O
1 2 2 8
direct
0.5486 0.4514 0.5000
0.0027 0.9973 0.0000
0.8293 0.1707 0.5000
0.5704 0.4296 0.0000
0.2351 0.7649 0.5000
0.9729 0.6258 0.3253
0.8859 0.8159 0.7509
0.5025 0.6160 0.2376
0.6484 0.1047 0.2366
0.3742 0.0271 0.6747
0.3840 0.4975 0.7624
0.1841 0.1141 0.2491
0.8953 0.3516 0.7634



## ii
LiPr2Pa2O8 (PBE, relaxed); magnetic moment = 0.080 μB per atom; space-group type = Imm2 (44)
1.0
-2.7927 2.8157 5.5401
2.7927 -2.8157 5.5401
2.7927 2.8157 -5.5401
Li Pr Pa O
1 2 2 8
direct
0.7614 0.2614 0.5000
0.4854 0.9854 0.5000
0.2479 0.2479 0.0000
0.0122 0.5122 0.5000
0.7483 0.7483 0.0000
0.3800 0.8613 0.9931
0.0947 0.1252 0.4819
0.3800 0.3869 0.5187
0.8682 0.3869 0.0069
0.0947 0.6129 0.9695
0.6434 0.6129 0.5181
0.8682 0.8613 0.4813
0.6434 0.1252 0.0305



Question: which arrangement is favored energetically? Ranking from most to least stable: ii, i.



## i
LiPb3O (PBE, relaxed); magnetic moment = 0.000 μB per atom; space-group type = Pm-3m (221)
1.0
5.0107 0.0000 0.0000
0.0000 5.0107 0.0000
0.0000 0.0000 5.0107
Pb O Li
3 1 1
direct
0.0000 0.5000 0.0000
0.0000 0.0000 0.5000
0.5000 0.0000 0.0000
0.5000 0.5000 0.5000
0.0000 0.0000 0.0000



## ii
LiPb3O (PBE, relaxed); magnetic moment = 0.000 μB per atom; space-group type = Pm-3m (221)
1.0
5.0475 0.0000 0.0000
0.0000 5.0475 0.0000
0.0000 0.0000 5.0475
Pb O Li
3 1 1
direct
0.0000 0.5000 0.0000
0.0000 0.0000 0.5000
0.5000 0.0000 0.0000
0.0000 0.0000 0.0000
0.5000 0.5000 0.5000



Question: which arrangement is favored energetically? Ranking from most to least stable: ii, i.



## i
Li2PbO2 (PBE, relaxed); magnetic moment = 0.000 μB per atom; space-group type = C2/m (12)
1.0
-2.9560 1.4850 0.2159
-1.3763 -2.4940 -1.6959
1.2027 -2.0447 5.2495
Li Pb O
2 1 2
direct
0.2501 0.7499 0.5000
0.7499 0.2501 0.5000
0.0000 0.0000 0.0000
0.6486 0.6486 0.2958
0.3514 0.3514 0.7042



## ii
Li2PbO2 (PBE, relaxed); magnetic moment = 0.000 μB per atom; space-group type = C2/m (12)
1.0
3.5769 0.0000 0.0000
-1.7885 4.9603 -1.9379
0.0000 0.1907 8.5244
Li Pb O
4 2 4
direct
0.6639 0.3278 0.4961
0.3361 0.6722 0.5039
0.0062 0.0123 0.6578
0.9938 0.9877 0.3422
0.3140 0.6281 0.8366
0.6859 0.3719 0.1634
0.1661 0.3323 0.5858
0.8339 0.6677 0.4142
0.5311 0.0621 0.2653
0.4689 0.9379 0.7347



Question: which arrangement is favored energetically? Ranking from most to least stable: ii, i.



## i
Sr2LiPbO (PBE, relaxed); magnetic moment = 0.000 μB per atom; space-group type = P4/mmm (123)
1.0
5.4374 0.0000 0.0000
0.0000 5.4374 0.0000
0.0000 0.0000 4.1265
Pb Sr O Li
1 2 1 1
direct
0.5000 0.5000 0.5000
0.0000 0.5000 0.0000
0.5000 0.0000 0.0000
0.0000 0.0000 0.0000
0.0000 0.0000 0.5000



## ii
Sr2LiPbO (PBE, relaxed); magnetic moment = 0.000 μB per atom; space-group type = P4/mmm (123)
1.0
-1.0758 5.1638 -0.5069
-5.2130 -1.0997 -0.1387
-0.2390 0.4678 5.2729
Pb Sr O Li
1 2 1 1
direct
0.0000 0.5000 0.0000
0.0000 0.0000 0.5000
0.5000 0.0000 0.0000
0.0000 0.0000 0.0000
0.5000 0.5000 0.5000



Question: which arrangement is favored energetically? Ranking from most to least stable: i, ii.